1.
KSc3S | GGA-PBE | relaxed

```
KSc3S
1.0
5.122 0.000 0.000
0.000 5.122 0.000
0.000 0.000 5.122
K Sc S
1 3 1
Direct
0.000 0.000 0.000 K
0.000 0.500 0.500 Sc
0.500 0.000 0.500 Sc
0.500 0.500 0.000 Sc
0.500 0.500 0.500 S
```

Values from the calculation:
magnetic moment = 2.56 μB/f.u.
space group = Pm-3m (221)
raw formation energy = -0.185 eV/atom
energy above the most stable polymorph in this dataset = 0.0 meV per atom

=====

2.
Cd2BPt2 | GGA-PBE | relaxed

```
Cd2BPt2
1.0
8.374 0.000 0.000
0.000 6.616 0.000
0.000 0.000 6.328
Cd B Pt
8 4 8
Direct
0.186 0.008 0.206 Cd
0.186 0.992 0.706 Cd
0.314 0.492 0.706 Cd
0.314 0.508 0.206 Cd
0.686 0.492 0.794 Cd
0.686 0.508 0.294 Cd
0.814 0.008 0.294 Cd
0.814 0.992 0.794 Cd
0.000 0.455 0.750 B
0.000 0.545 0.250 B
0.500 0.045 0.250 B
0.500 0.955 0.750 B
0.052 0.307 0.468 Pt
0.052 0.693 0.968 Pt
0.448 0.193 0.968 Pt
0.448 0.807 0.468 Pt
0.552 0.193 0.532 Pt
0.552 0.807 0.032 Pt
0.948 0.307 0.032 Pt
0.948 0.693 0.532 Pt
```

Values from the calculation:
magnetic moment = 0.00 μB/f.u.
DFT formation energy = -155.2 meV per atom
space group = Pbcn (60)
energy above the most stable polymorph in this dataset = 22.7 meV per atom

=====

3.
GeSb3Pd12 | GGA-PBE | relaxed

```
GeSb3Pd12
1.0
4.037 0.000 0.000
0.000 4.037 0.000
0.000 0.000 16.006
Ge Sb Pd
1 3 12
Direct
0.000 0.000 0.000 Ge
0.000 0.000 0.245 Sb
0.000 0.000 0.500 Sb
0.000 0.000 0.755 Sb
0.000 0.500 0.118 Pd
0.000 0.500 0.373 Pd
0.000 0.500 0.627 Pd
0.000 0.500 0.882 Pd
0.500 0.000 0.118 Pd
0.500 0.000 0.373 Pd
0.500 0.000 0.627 Pd
0.500 0.000 0.882 Pd
0.500 0.500 0.000 Pd
0.500 0.500 0.246 Pd
0.500 0.500 0.500 Pd
0.500 0.500 0.754 Pd
```

Values from the calculation:
magnetic moment = 0.00 μB/f.u.
space group = P4/mmm (123)
raw formation energy = -0.362 eV/atom

=====

4.
PmBe3Pd10 | GGA-PBE | relaxed

```
PmBe3Pd10
1.0
0.000 5.960 5.960
5.960 0.000 5.960
5.960 5.960 0.000
Pm Be Pd
2 6 20
Direct
0.250 0.250 0.250 Pm
0.750 0.750 0.750 Pm
0.229 0.229 0.771 Be
0.229 0.771 0.229 Be
0.229 0.771 0.771 Be
0.771 0.229 0.229 Be
0.771 0.229 0.771 Be
0.771 0.771 0.229 Be
0.116 0.116 0.116 Pd
0.116 0.116 0.652 Pd
0.116 0.652 0.116 Pd
0.163 0.500 0.500 Pd
0.163 0.500 0.837 Pd
0.163 0.837 0.500 Pd
0.348 0.884 0.884 Pd
0.500 0.163 0.500 Pd
0.500 0.163 0.837 Pd
0.500 0.500 0.163 Pd
0.500 0.500 0.837 Pd
0.500 0.837 0.163 Pd
0.500 0.837 0.500 Pd
0.652 0.116 0.116 Pd
0.837 0.163 0.500 Pd
0.837 0.500 0.163 Pd
0.837 0.500 0.500 Pd
0.884 0.348 0.884 Pd
0.884 0.884 0.348 Pd
0.884 0.884 0.884 Pd
```

Values from the calculation:
magnetic moment = 0.00 μB/f.u.
DFT formation energy = -490.1 meV per atom
space group = Fm-3m (225)

=====

5.
MgAg2Sn2 | GGA-PBE | relaxed

```
MgAg2Sn2
1.0
-2.116 2.116 6.667
2.116 -2.116 6.667
2.116 2.116 -6.667
Mg Ag Sn
1 2 2
Direct
0.000 0.000 0.000 Mg
0.250 0.750 0.500 Ag
0.750 0.250 0.500 Ag
0.393 0.393 0.000 Sn
0.607 0.607 0.000 Sn
```

Values from the calculation:
magnetic moment = 0.00 μB/f.u.
DFT formation energy = 89.7 meV per atom
space group = I4/mmm (139)
energy above the most stable polymorph in this dataset = 79.2 meV per atom